[1]
HoNiBi: relaxed, PBE-GGA.

Calculated values
- Space-group type: F-43m (216)
- Size of the total moment: 0.00 μB per cell
- Final energy: -5.42 eV/atom

Cell lengths 4.5646, 4.5646, 4.5646 Å; angles 120.00, 90.00, 120.00 degrees
Fractional positions:
Ni  0.7500  0.5000  0.2500
Bi  0.0000  0.0000  0.0000
Ho  0.5000  0.0000  0.5000


[2]
Ho5Ni2Bi: relaxed, PBE-GGA.

Calculated values
- Space-group type: I4/mcm (140)
- Size of the total moment: 0.01 μB per cell
- Final energy: -5.23 eV/atom

Cell lengths 8.6135, 8.6135, 8.6135 Å; angles 127.22, 127.22, 77.89 degrees
Fractional positions:
Ho  0.2899  0.4792  0.5000
Ho  0.7899  0.2899  0.8108
Ho  0.7101  0.5208  0.5000
Bi  0.2500  0.2500  0.0000
Ho  0.9792  0.7899  0.5000
Bi  0.7500  0.7500  0.0000
Ni  0.6321  0.8679  0.5000
Ho  0.5208  0.0208  0.8108
Ho  0.0000  0.0000  0.0000
Ho  0.2101  0.7101  0.1892
Ho  0.4792  0.9792  0.1892
Ho  0.0208  0.2101  0.5000
Ni  0.1321  0.6321  0.7643
Ni  0.8679  0.3679  0.2357
Ho  0.5000  0.5000  0.0000
Ni  0.3679  0.1321  0.5000


[3]
HoNiBi: relaxed, PBE-GGA.

Calculated values
- Space-group type: P-62m (189)
- Size of the total moment: 0.00 μB per cell
- Final energy: -5.25 eV/atom

Cell lengths 7.3549, 7.3549, 4.1417 Å; angles 90.00, 90.00, 120.00 degrees
Fractional positions:
Ho  0.6091  0.0000  0.5000
Ni  0.6667  0.3333  0.0000
Bi  0.2754  0.0000  0.0000
Ho  0.0000  0.6091  0.5000
Ni  0.0000  0.0000  0.5000
Ni  0.3333  0.6667  0.0000
Bi  0.7246  0.7246  0.0000
Bi  0.0000  0.2754  0.0000
Ho  0.3909  0.3909  0.5000


[4]
HoNpBi: relaxed, PBE-GGA.

Calculated values
- Space-group type: F-43m (216)
- Size of the total moment: 6.60 μB per cell
- Final energy: -6.56 eV/atom

Cell lengths 5.0425, 5.0425, 5.0425 Å; angles 60.00, 60.00, 60.00 degrees
Site moments in Bohr magnetons follow the coordinates.
Fractional positions:
Ho  0.0000  0.0000  0.0000  1.15
Np  0.7500  0.7500  0.7500  4.85
Bi  0.2500  0.2500  0.2500  -0.07


[5]
HoBiO3: relaxed, PBE-GGA.

Calculated values
- Space-group type: Pnma (62)
- Size of the total moment: 0.01 μB per cell
- Final energy: -6.93 eV/atom

Cell lengths 6.0835, 8.4910, 5.8420 Å; angles 90.00, 90.00, 90.00 degrees
Fractional positions:
O  0.8302  0.0798  0.6652
Bi  0.0000  0.5000  0.0000
O  0.6698  0.5798  0.1652
Bi  0.0000  0.0000  0.0000
Bi  0.5000  0.0000  0.5000
Ho  0.4543  0.7500  0.0034
O  0.3302  0.4202  0.8348
O  0.8896  0.2500  0.1682
O  0.3896  0.2500  0.3318
Ho  0.0457  0.2500  0.5034
O  0.6104  0.7500  0.6682
O  0.3302  0.0798  0.8348
Bi  0.5000  0.5000  0.5000
Ho  0.9543  0.7500  0.4966
O  0.6698  0.9202  0.1652
O  0.1698  0.9202  0.3348
O  0.8302  0.4202  0.6652
Ho  0.5457  0.2500  0.9966
O  0.1698  0.5798  0.3348
O  0.1104  0.7500  0.8318


[6]
Ho2BiO4: relaxed, PBE-GGA.

Calculated values
- Space-group type: Fd-3m (227)
- Size of the total moment: 2.00 μB per cell
- Final energy: -7.31 eV/atom

Cell lengths 6.8957, 6.8957, 6.8957 Å; angles 119.99, 90.02, 119.99 degrees
Site moments in Bohr magnetons follow the coordinates.
Fractional positions:
O  0.1435  0.2871  0.4306  -0.05
O  0.1436  0.2871  0.8565  -0.05
Bi  0.0000  0.0000  0.0000  -0.31
O  0.1435  0.7129  0.8564  -0.05
O  0.6065  0.7871  0.3936  -0.05
Ho  0.3750  0.7500  0.1250  -0.03
Ho  0.3750  0.2500  0.6250  -0.03
Bi  0.7500  0.5000  0.2500  -0.31
Ho  0.8750  0.2500  0.6250  -0.03
Ho  0.3750  0.7500  0.6250  -0.03
O  0.6064  0.2129  0.3935  -0.05
O  0.6065  0.2129  0.8194  -0.05
O  0.5694  0.7129  0.8565  -0.05
O  0.1806  0.7871  0.3935  -0.05


Please write out number 3 again, unchanged.
HoNiBi: relaxed, PBE-GGA.

Calculated values
- Space-group type: P-62m (189)
- Size of the total moment: 0.00 μB per cell
- Final energy: -5.25 eV/atom

Cell lengths 7.3549, 7.3549, 4.1417 Å; angles 90.00, 90.00, 120.00 degrees
Fractional positions:
Ho  0.6091  0.0000  0.5000
Ni  0.6667  0.3333  0.0000
Bi  0.2754  0.0000  0.0000
Ho  0.0000  0.6091  0.5000
Ni  0.0000  0.0000  0.5000
Ni  0.3333  0.6667  0.0000
Bi  0.7246  0.7246  0.0000
Bi  0.0000  0.2754  0.0000
Ho  0.3909  0.3909  0.5000